Compound: Rb10HAu4
Source: Alexandria via LeMat-Bulk
Functional: PBE
Structure: optimized geometry

Structure (POSCAR):
```
Rb10HAu4
1.0
2.955 1.706 23.593
-2.955 1.706 23.593
0.000 -3.413 23.593
Rb H Au
10 1 4
direct
0.045 0.045 0.045
0.150 0.150 0.150
0.253 0.253 0.253
0.347 0.347 0.347
0.448 0.448 0.448
0.552 0.552 0.552
0.653 0.653 0.653
0.747 0.747 0.747
0.850 0.850 0.850
0.955 0.955 0.955
0.000 0.000 0.000
0.201 0.201 0.201
0.396 0.396 0.396
0.604 0.604 0.604
0.799 0.799 0.799
```

Output
- D(E_F): 11.95 states/eV/f.u.
- VASP energy: -1.850 eV per atom